Computed, not measured: an optimized crystal structure of TmThCuNi at the PBE level of DFT.

Cell and atoms, written as POSCAR:
```
TmThCuNi
1.0
4.9055 0.0000 0.0000
2.4528 4.2483 0.0000
2.4528 1.4161 4.0054
Ni Tm Cu Th
1 1 1 1
Cartesian
7.3583 4.2483 3.0040
0.0000 0.0000 0.0000
2.4528 1.4161 1.0013
4.9055 2.8322 2.0027
```

magnetic moment = 0.0 μB per formula unit
energy of formation from the pure elements = -5.822 kcal/mol of atoms
relative energy among the computed polymorphs = 93.3 meV/atom
crystal system = cubic
E = -5.695 eV per atom

Computed, not measured: an optimized crystal structure of Th2Zn3Cu12Ni at the PBE level of DFT.

Cell and atoms, written as POSCAR:
```
Th2Zn3Cu12Ni
1.0
9.2586 1.8187 1.2900
6.1538 7.1526 1.2900
6.1538 3.5820 6.3240
Th Zn Cu Ni
2 3 12 1
Cartesian
14.0786 8.1949 5.8126
7.4874 4.3583 3.0913
4.6293 0.9093 0.6450
3.0769 3.5763 0.6450
3.0769 1.7910 3.1620
11.4622 6.6720 6.2028
16.4634 9.5831 4.6351
14.6891 10.5908 7.5119
12.6690 5.9866 4.2462
16.4634 7.5426 7.5119
11.4622 8.0598 4.2462
10.1038 5.8813 2.7011
5.1027 2.9702 4.2688
6.8770 1.9625 1.3920
8.8971 6.5666 4.6577
5.1027 5.0107 1.3920
10.1038 4.4935 4.6577
0.0000 0.0000 0.0000
```

magnetic moment = 0.0 μB per formula unit
energy of formation from the pure elements = 3.312 kcal/mol of atoms
crystal system = trigonal
E = -3.945 eV per atom

Computed, not measured: an optimized crystal structure of Th2ZnCu2Ni5 at the PBE level of DFT.

Cell and atoms, written as POSCAR:
```
Th2ZnCu2Ni5
1.0
3.6509 0.0000 0.0000
0.0000 9.2287 0.0000
0.0000 0.0000 9.2287
Th Zn Cu Ni
4 2 4 10
Cartesian
0.0000 6.3012 1.6868
0.0000 2.9275 7.5419
0.0000 1.6868 2.9275
0.0000 7.5419 6.3012
0.0000 0.0000 0.0000
0.0000 4.6144 4.6144
0.0000 1.0633 5.6777
0.0000 8.1654 3.5511
0.0000 5.6777 8.1654
0.0000 3.5511 1.0633
1.8254 1.8911 0.5144
1.8254 7.3376 8.7143
1.8254 0.5144 7.3376
1.8254 6.5054 4.0999
1.8254 8.7143 1.8911
1.8254 2.7233 5.1288
1.8254 5.1288 6.5054
1.8254 4.0999 2.7233
1.8254 4.6144 0.0000
1.8254 0.0000 4.6144
```

magnetic moment = 0.0 μB per formula unit
energy of formation from the pure elements = -5.165 kcal/mol of atoms
crystal system = tetragonal
E = -5.545 eV per atom

Computed, not measured: an optimized crystal structure of Th2Zn3CuNi12 at the PBE level of DFT.

Cell and atoms, written as POSCAR:
```
Th2Zn3CuNi12
1.0
8.7717 1.5553 1.1031
5.6843 6.8593 1.1031
5.6843 3.3087 6.1090
Th Zn Cu Ni
2 3 1 12
Cartesian
13.1438 7.6508 5.4266
6.9965 4.0725 2.8886
4.3858 0.7776 0.5516
2.8421 3.4297 0.5516
2.8421 1.6544 3.0545
0.0000 0.0000 0.0000
10.6993 6.2279 5.8677
15.3519 8.9361 4.2544
13.6418 9.9073 7.0272
11.8895 5.5519 3.9379
15.3519 6.9694 7.0272
10.6993 7.5966 3.9379
9.4410 5.4954 2.4475
4.7884 2.7872 4.0608
6.4985 1.8160 1.2881
8.2508 6.1714 4.3773
4.7884 4.7539 1.2881
9.4410 4.1267 4.3773
```

magnetic moment = 0.0 μB per formula unit
energy of formation from the pure elements = 1.761 kcal/mol of atoms
crystal system = trigonal
E = -5.042 eV per atom